Entry 1:
VASP calculation (PBE-GGA) on a relaxed structure of NbCr2Cu.

M_tot: 0.00 μB/f.u.
E_form: 0.824 eV per atom

Unit cell a=6.7698 b=6.7698 c=5.4138 alpha=51.30 beta=51.30 gamma=90.00
Closest atoms and distances in Å follow each position.
Element x y z (fractional)
Cr1 0.3750 0.3904 0.7500  2 Cu 2.41, 2 Cr 2.54, 2 Nb 2.55
Cr2 0.6096 0.1250 0.2500  2 Cu 2.41, 2 Cr 2.54, 2 Nb 2.55
Cr3 0.8750 0.8596 0.7500  2 Cu 2.41, 2 Cr 2.54, 2 Nb 2.55
Cr4 0.1404 0.6250 0.2500  2 Cu 2.41, 2 Cr 2.54, 2 Nb 2.55
Nb1 0.0000 0.0000 0.0000  2 Cu 2.53, 4 Cr 2.55
Nb2 0.7500 0.2500 0.5000  2 Cu 2.53, 4 Cr 2.55
Cu1 0.5000 0.5000 0.0000  4 Cr 2.41, 2 Nb 2.53
Cu2 0.2500 0.7500 0.5000  4 Cr 2.41, 2 Nb 2.53

=====

Entry 2:
VASP calculation (PBE-GGA) on a relaxed structure of NbCrCuRh.

M_tot: 2.97 μB/f.u.
E_form: -0.065 eV per atom

Unit cell a=4.3474 b=4.3474 c=4.3474 alpha=60.00 beta=60.00 gamma=60.00
Closest atoms and distances in Å follow each position.
Element x y z (fractional)
Nb1 0.7500 0.7500 0.7500  4 Rh 2.66, 4 Cr 2.66
Cr1 0.5000 0.5000 0.5000  4 Nb 2.66, 4 Cu 2.66
Rh1 0.0000 0.0000 0.0000  4 Cu 2.66, 4 Nb 2.66
Cu1 0.2500 0.2500 0.2500  4 Cr 2.66, 4 Rh 2.66

=====

Entry 3:
VASP calculation (PBE-GGA) on a relaxed structure of NbVCrCuSi.

M_tot: 0.00 μB/f.u.
E_form (uncorrected): -126 meV/atom

Unit cell a=6.2918 b=3.1341 c=8.9737 alpha=90.00 beta=129.63 gamma=90.00
Closest atoms and distances in Å follow each position.
Element x y z (fractional)
Cu1 0.7325 0.5000 0.3930  2 Si 2.45, 2 Cr 2.57, 2 Nb 2.69
Cu2 0.7325 0.0000 0.8930  2 Si 2.45, 2 Cr 2.57, 2 Nb 2.69
Cr1 0.9330 0.5000 0.1817  2 V 2.40, 2 Si 2.54, 2 Cu 2.57, 2 Nb 2.66
Cr2 0.9330 0.0000 0.6817  2 V 2.40, 2 Si 2.54, 2 Cu 2.57, 2 Nb 2.66
Nb1 0.5194 0.5000 0.5822  2 Cr 2.66, 3 Cu 2.69-2.75, 3 Si 2.71-2.93, 3 V 2.75-2.80
Nb2 0.5194 0.0000 0.0822  2 Cr 2.66, 3 Cu 2.69-2.75, 3 Si 2.71-2.93, 3 V 2.75-2.80
V1 0.2795 0.0000 0.2585  2 Cr 2.40, 2 Si 2.66
V2 0.2795 0.5000 0.7585  2 Cr 2.40, 2 Si 2.66
Si1 0.0809 0.0000 0.4556  2 Cu 2.45, 3 Cr 2.54-2.72, 3 V 2.66-2.74, 2 Nb 2.71
Si2 0.0809 0.5000 0.9556  2 Cu 2.45, 3 Cr 2.54-2.72, 3 V 2.66-2.74, 2 Nb 2.71

=====

Q: Which of these has the highest M_tot?
A: NbCrCuRh

=====

Q: Which of these has the highest M_tot?
A: NbCrCuRh